[1]
Computed, not measured: a relaxed structure of TaCo2B at the GGA-PBE level of DFT.

The calculation puts the total energy at -8.68 eV per atom. The space group is No. 14.

Lattice parameters (Å, degrees): 9.150 6.342 6.314 90.00 110.02 90.00
Element x y z (fractional)
B  0.225  0.770  0.112
B  0.726  0.737  0.113
B  0.274  0.237  0.387
B  0.775  0.270  0.388
B  0.225  0.730  0.612
B  0.726  0.763  0.613
B  0.274  0.263  0.887
B  0.775  0.230  0.888
Co  0.851  0.445  0.156
Co  0.350  0.055  0.162
Co  0.360  0.443  0.193
Co  0.858  0.056  0.198
Co  0.142  0.556  0.302
Co  0.640  0.943  0.307
Co  0.650  0.555  0.338
Co  0.149  0.945  0.344
Co  0.851  0.055  0.656
Co  0.350  0.445  0.662
Co  0.360  0.057  0.693
Co  0.858  0.444  0.698
Co  0.142  0.944  0.802
Co  0.640  0.557  0.807
Co  0.650  0.945  0.838
Co  0.149  0.555  0.844
Ta  0.560  0.258  0.030
Ta  0.060  0.237  0.030
Ta  0.940  0.737  0.470
Ta  0.440  0.758  0.470
Ta  0.560  0.242  0.530
Ta  0.060  0.263  0.530
Ta  0.940  0.763  0.970
Ta  0.440  0.742  0.970

=====

[2]
Computed, not measured: a relaxed structure of TaCo2B at the GGA-PBE level of DFT.

The calculation puts the total energy at -8.01 eV per atom. The space group is No. 216.

Lattice parameters (Å, degrees): 4.001 4.001 4.001 60.00 60.00 60.00
Element x y z (fractional)
B  0.500  0.500  0.500
Co  0.000  0.000  0.000
Co  0.750  0.750  0.750
Ta  0.250  0.250  0.250

=====

[3]
Computed, not measured: a relaxed structure of TaCoB4 at the GGA-PBE level of DFT.

Its polymorph energy (0 for the lowest one) is 110 meV per atom. The space group is No. 71.

Lattice parameters (Å, degrees): 4.453 4.453 4.453 140.17 109.01 84.63
Element x y z (fractional)
B  0.573  0.246  0.326
B  0.080  0.754  0.326
B  0.920  0.246  0.674
B  0.427  0.754  0.674
Co  0.000  0.000  0.000
Ta  0.500  0.500  0.000

=====

[4]
Computed, not measured: a relaxed structure of TaCoB4 at the GGA-PBE level of DFT.

Its polymorph energy (0 for the lowest one) is 0 meV per atom. The space group is No. 191.

Lattice parameters (Å, degrees): 3.089 3.089 5.926 90.00 90.00 120.00
Element x y z (fractional)
B  0.667  0.333  0.226
B  0.333  0.667  0.226
B  0.667  0.333  0.774
B  0.333  0.667  0.774
Co  0.000  0.000  0.000
Ta  0.000  0.000  0.500

=====

- What is the formula in the fourth record?
  TaCoB4